First-principles (PBE-GGA) data for crystalline NaDyZnTe3 at its relaxed geometry, as listed in the Open Quantum Materials Database.

Cell and atoms, written as POSCAR:
```
NaDyZnTe3
1.0
8.788 0.000 0.000
0.000 4.429 0.000
0.000 0.000 17.986
Na Dy Zn Te
4 4 4 12
direct
0.058 0.250 0.215
0.442 0.750 0.715
0.558 0.250 0.285
0.942 0.750 0.785
0.236 0.250 0.954
0.264 0.750 0.454
0.736 0.250 0.546
0.764 0.750 0.046
0.117 0.250 0.649
0.383 0.750 0.149
0.617 0.250 0.851
0.883 0.750 0.351
0.001 0.750 0.582
0.126 0.750 0.060
0.213 0.250 0.785
0.287 0.750 0.285
0.374 0.250 0.560
0.499 0.250 0.082
0.501 0.750 0.918
0.626 0.750 0.440
0.713 0.250 0.715
0.787 0.750 0.215
0.874 0.250 0.940
0.999 0.250 0.418
```

Polymorph energy (0 for the lowest one) = 105 meV/atom
Total magnetization = 0.000 μB per formula unit